La8CdTc2 PBE optimized geometry; ΔE_f = -0.02 eV per atom; E = -61.25 eV/f.u.; total moment = 0.000 μB/f.u.
1.0
4.423 -7.057 0.000
4.423 7.057 0.000
-1.284 0.000 5.610
La Cd Tc
8 1 2
Direct
0.000 0.000 0.000 La
0.195 0.195 0.577 La
0.264 0.521 0.232 La
0.345 0.846 0.787 La
0.521 0.264 0.232 La
0.672 0.928 0.342 La
0.846 0.345 0.787 La
0.928 0.672 0.342 La
0.598 0.598 0.787 Cd
0.299 0.896 0.289 Tc
0.896 0.299 0.289 Tc

LaCd2Tc PBE optimized geometry; ΔE_f = 0.19 eV per atom; E = -16.35 eV/f.u.; total moment = 0.000 μB/f.u.
1.0
3.518 0.000 0.000
0.000 3.518 0.000
0.000 0.000 7.544
La Cd Tc
1 2 1
Direct
0.000 0.000 0.000 La
0.000 0.000 0.425 Cd
0.500 0.500 0.655 Cd
0.500 0.500 0.236 Tc

La4CdTc PBE optimized geometry; ΔE_f = -0.16 eV per atom; E = -31.93 eV/f.u.; total moment = 0.000 μB/f.u.
1.0
4.626 -6.674 0.000
4.626 6.674 0.000
-2.071 0.000 6.074
La Cd Tc
8 2 2
Direct
0.057 0.728 0.948 La
0.204 0.370 0.621 La
0.272 0.943 0.552 La
0.370 0.204 0.121 La
0.630 0.796 0.879 La
0.728 0.057 0.448 La
0.796 0.630 0.379 La
0.943 0.272 0.052 La
0.377 0.623 0.250 Cd
0.623 0.377 0.750 Cd
0.002 0.998 0.250 Tc
0.998 0.002 0.750 Tc

Q: Which formula does entry 2 have?
A: LaCd2Tc

Q: total moment of number 2 (LaCd2Tc)?
A: 0.000 μB/f.u.